No. 1
VASP calculation (GGA-PBE) on a geometry-optimized TlRuO2F structure.

```
data_TlRuO2F
_cell_length_a 3.776
_cell_length_b 3.776
_cell_length_c 5.596
_cell_angle_alpha 90.00
_cell_angle_beta 90.00
_cell_angle_gamma 90.00
_symmetry_space_group_name_H-M 'P 4/m m m'
_symmetry_Int_Tables_number 123
_symmetry_space_group_name_Hall '-P 4 2'
loop_
_atom_site_label
_atom_site_fract_x
_atom_site_fract_y
_atom_site_fract_z
Tl1 0.000 0.000 0.000
Ru1 0.500 0.500 0.500
O1 0.000 0.500 0.500
F1 0.500 0.500 0.000
```

Results
Raw total energy = -28.41 eV/cell
Crystal system = tetragonal
DOS at the Fermi energy = 1.4 states/eV/f.u.
Formation energy (no corrections) = -0.995 eV/atom

No. 2
VASP calculation (GGA-PBE) on a geometry-optimized TlRuOF2 structure.

```
data_TlRuOF2
_cell_length_a 4.507
_cell_length_b 4.507
_cell_length_c 3.759
_cell_angle_alpha 90.00
_cell_angle_beta 90.00
_cell_angle_gamma 90.00
_symmetry_space_group_name_H-M 'P 4/m m m'
_symmetry_Int_Tables_number 123
_symmetry_space_group_name_Hall '-P 4 2'
loop_
_atom_site_label
_atom_site_fract_x
_atom_site_fract_y
_atom_site_fract_z
Tl1 0.000 0.000 0.000
Ru1 0.500 0.500 0.500
O1 0.500 0.500 0.000
F1 0.000 0.500 0.500
```

Results
Raw total energy = -26.45 eV/cell
Crystal system = tetragonal
E above lowest polymorph = 0 meV/atom
DOS at the Fermi energy = 2.3 states/eV/f.u.
Formation energy (no corrections) = -1.221 eV/atom

No. 3
VASP calculation (GGA-PBE) on a geometry-optimized TlRuO4F structure.

```
data_TlRuO4F
_cell_length_a 11.308
_cell_length_b 7.618
_cell_length_c 7.155
_cell_angle_alpha 90.00
_cell_angle_beta 104.04
_cell_angle_gamma 90.00
_symmetry_space_group_name_H-M 'C 1 2/m 1'
_symmetry_Int_Tables_number 12
loop_
_symmetry_equiv_pos_as_xyz
'x,y,z'
'-x,-y,-z'
'-x,y,-z'
'x,-y,z'
'x+1/2,y+1/2,z'
'-x+1/2,-y+1/2,-z'
'-x+1/2,y+1/2,-z'
'x+1/2,-y+1/2,z'
loop_
_atom_site_label
_atom_site_fract_x
_atom_site_fract_y
_atom_site_fract_z
Tl1 0.165 0.000 0.019
Ru1 0.147 0.500 0.290
O1 0.009 0.500 0.783
O2 0.208 0.500 0.534
O3 0.211 0.330 0.177
F1 0.027 0.000 0.201
```

Results
Raw total energy = -159.33 eV/cell
Crystal system = monoclinic
Formation energy (no corrections) = -0.926 eV/atom

No. 4
VASP calculation (GGA-PBE) on a geometry-optimized TlRuOF2 structure.

```
data_TlRuOF2
_cell_length_a 4.542
_cell_length_b 4.542
_cell_length_c 4.198
_cell_angle_alpha 90.00
_cell_angle_beta 90.00
_cell_angle_gamma 90.00
_symmetry_space_group_name_H-M 'P 4/m m m'
_symmetry_Int_Tables_number 123
_symmetry_space_group_name_Hall '-P 4 2'
loop_
_atom_site_label
_atom_site_fract_x
_atom_site_fract_y
_atom_site_fract_z
Tl1 0.000 0.000 0.000
Ru1 0.500 0.500 0.500
O1 0.000 0.000 0.500
F1 0.000 0.500 0.000
```

Results
Raw total energy = -21.23 eV/cell
Crystal system = tetragonal
E above lowest polymorph = 1044 meV/atom
DOS at the Fermi energy = 5.7 states/eV/f.u.
Formation energy (no corrections) = -0.177 eV/atom

No. 5
VASP calculation (GGA-PBE) on a geometry-optimized Tl2RuO2F4 structure.

```
data_Tl2RuO2F4
_cell_length_a 10.150
_cell_length_b 6.195
_cell_length_c 5.005
_cell_angle_alpha 90.00
_cell_angle_beta 92.61
_cell_angle_gamma 90.00
_symmetry_space_group_name_H-M 'C 1 2/m 1'
_symmetry_Int_Tables_number 12
loop_
_symmetry_equiv_pos_as_xyz
'x,y,z'
'-x,-y,-z'
'-x,y,-z'
'x,-y,z'
'x+1/2,y+1/2,z'
'-x+1/2,-y+1/2,-z'
'-x+1/2,y+1/2,-z'
'x+1/2,-y+1/2,z'
loop_
_atom_site_label
_atom_site_fract_x
_atom_site_fract_y
_atom_site_fract_z
Tl1 0.163 0.000 0.296
Ru1 0.000 0.500 0.000
O1 0.117 0.500 0.267
F1 0.102 0.265 0.825
```

Results
Raw total energy = -89.41 eV/cell
Crystal system = monoclinic
Formation energy (no corrections) = -1.477 eV/atom

No. 6
VASP calculation (GGA-PBE) on a geometry-optimized TlRuO2F structure.

```
data_TlRuO2F
_cell_length_a 4.276
_cell_length_b 4.276
_cell_length_c 4.409
_cell_angle_alpha 90.00
_cell_angle_beta 90.00
_cell_angle_gamma 90.00
_symmetry_space_group_name_H-M 'P 4/m m m'
_symmetry_Int_Tables_number 123
_symmetry_space_group_name_Hall '-P 4 2'
loop_
_atom_site_label
_atom_site_fract_x
_atom_site_fract_y
_atom_site_fract_z
Tl1 0.000 0.000 0.000
Ru1 0.500 0.500 0.500
O1 0.000 0.500 0.000
F1 0.000 0.000 0.500
```

Results
Raw total energy = -22.22 eV/cell
Crystal system = tetragonal
DOS at the Fermi energy = 4.8 states/eV/f.u.
Formation energy (no corrections) = 0.241 eV/atom

Among the records above, which one has the highest raw total energy?
number 4

Which of these has the lowest formation energy (no corrections)?
Tl2RuO2F4

Which value of raw total energy does entry 2 give?
-26.45 eV/cell

What is the formation energy (no corrections) in the first record?
-0.995 eV/atom